Record 1
Crystalline Ac3B7Os at its relaxed geometry. Source: the Alexandria database, functional PBE.

Geometry as CIF:
```
data_Ac3B7Os
_cell_length_a 3.6697
_cell_length_b 16.9354
_cell_length_c 10.4682
_cell_angle_alpha 90.00
_cell_angle_beta 90.00
_cell_angle_gamma 90.00
_space_group_name_H-M_alt 'C m c m'
_space_group_IT_number 63
_space_group_name_Hall '-C 2c 2'
loop_
_atom_site_label
_atom_site_type_symbol
_atom_site_fract_x
_atom_site_fract_y
_atom_site_fract_z
_atom_site_occupancy
Ac1 Ac 0.0000 0.0974 0.0555 1
Ac2 Ac 0.0000 0.2587 0.7500 1
B1 B 0.0000 0.2721 0.0326 1
B2 B 0.0000 0.3566 0.1561 1
B3 B 0.0000 0.4586 0.1295 1
B4 B 0.0000 0.4755 0.7500 1
Os1 Os 0.0000 0.0705 0.7500 1
```

Computed properties:
For the electronic total energy, the calculation gives -6.543 eV/atom. The total magnetization is 0.00 Bohr magnetons per cell. The calculation puts the density of states at the Fermi level at 1.8 states/eV/f.u. The calculation puts the energy of formation from the pure elements at -1.68 eV per formula unit.

Record 2
Crystalline AcB2Os at its relaxed geometry. Source: the Alexandria database, functional PBE.

Geometry as CIF:
```
data_AcB2Os
_cell_length_a 3.1258
_cell_length_b 3.1258
_cell_length_c 6.0786
_cell_angle_alpha 90.00
_cell_angle_beta 90.00
_cell_angle_gamma 90.00
_space_group_name_H-M_alt 'P 4/m m m'
_space_group_IT_number 123
_space_group_name_Hall '-P 4 2'
loop_
_atom_site_label
_atom_site_type_symbol
_atom_site_fract_x
_atom_site_fract_y
_atom_site_fract_z
_atom_site_occupancy
Ac1 Ac 0.0000 0.0000 0.0000 1
B1 B 0.5000 0.5000 0.3526 1
Os1 Os 0.0000 0.0000 0.5000 1
```

Computed properties:
For the electronic total energy, the calculation gives -6.699 eV/atom. The total magnetization is 0.01 Bohr magnetons per cell. The calculation puts the density of states at the Fermi level at 3.3 states/eV/f.u. The calculation puts the energy of formation from the pure elements at 1.90 eV per formula unit. The value obtained for the energy above the most stable polymorph in this dataset is 653 meV per atom.

Record 3
Crystalline AcB3Os3 at its relaxed geometry. Source: the Alexandria database, functional PBE.

Geometry as CIF:
```
data_AcB3Os3
_cell_length_a 6.0893
_cell_length_b 6.0893
_cell_length_c 21.5429
_cell_angle_alpha 90.00
_cell_angle_beta 90.00
_cell_angle_gamma 120.00
_space_group_name_H-M_alt 'R -3'
_space_group_IT_number 148
_space_group_name_Hall '-R 3'
loop_
_atom_site_label
_atom_site_type_symbol
_atom_site_fract_x
_atom_site_fract_y
_atom_site_fract_z
_atom_site_occupancy
Ac1 Ac 0.0000 0.0000 0.1624 1
B1 B 0.0093 0.2813 0.6046 1
Os1 Os 0.0149 0.3791 0.3764 1
```

Computed properties:
For the electronic total energy, the calculation gives -8.114 eV/atom. The total magnetization is 0.00 Bohr magnetons per cell. The calculation puts the density of states at the Fermi level at 3.2 states/eV/f.u. The calculation puts the energy of formation from the pure elements at 1.03 eV per formula unit.

Record 4
Crystalline Ac2ReB6Os at its relaxed geometry. Source: the Alexandria database, functional PBE.

Geometry as CIF:
```
data_Ac2ReB6Os
_cell_length_a 5.9784
_cell_length_b 6.0035
_cell_length_c 8.4595
_cell_angle_alpha 90.00
_cell_angle_beta 90.00
_cell_angle_gamma 90.00
_space_group_name_H-M_alt 'I m m m'
_space_group_IT_number 71
_space_group_name_Hall '-I 2 2'
loop_
_atom_site_label
_atom_site_type_symbol
_atom_site_fract_x
_atom_site_fract_y
_atom_site_fract_z
_atom_site_occupancy
Ac1 Ac 0.0000 0.0000 0.2500 1
Re1 Re 0.0000 0.5000 0.0000 1
B1 B 0.0000 0.5000 0.2508 1
B2 B 0.2490 0.2507 0.5000 1
Os1 Os 0.0000 0.5000 0.5000 1
```

Computed properties:
For the electronic total energy, the calculation gives -7.173 eV/atom. The total magnetization is 0.00 Bohr magnetons per cell. The calculation puts the density of states at the Fermi level at 2.9 states/eV/f.u. The calculation puts the energy of formation from the pure elements at 0.23 eV per formula unit.

Record 5
Crystalline Ac2B12Os3Rh at its relaxed geometry. Source: the Alexandria database, functional PBE.

Geometry as CIF:
```
data_Ac2B12Os3Rh
_cell_length_a 8.0116
_cell_length_b 8.0116
_cell_length_c 21.8733
_cell_angle_alpha 90.00
_cell_angle_beta 90.00
_cell_angle_gamma 120.00
_space_group_name_H-M_alt 'R -3 m'
_space_group_IT_number 166
_space_group_name_Hall '-R 3 2"'
loop_
_atom_site_label
_atom_site_type_symbol
_atom_site_fract_x
_atom_site_fract_y
_atom_site_fract_z
_atom_site_occupancy
Ac1 Ac 0.0000 0.0000 0.2408 1
B1 B 0.0762 0.1525 0.4136 1
B2 B 0.1058 0.2115 0.6413 1
Os1 Os 0.0000 0.5000 0.0000 1
Rh1 Rh 0.0000 0.0000 0.5000 1
```

Computed properties:
For the electronic total energy, the calculation gives -6.713 eV/atom. The total magnetization is 0.00 Bohr magnetons per cell. The calculation puts the density of states at the Fermi level at 8.1 states/eV/f.u. The calculation puts the energy of formation from the pure elements at 8.56 eV per formula unit.

Record 6
Crystalline AcB3OsRu at its relaxed geometry. Source: the Alexandria database, functional PBE.

Geometry as CIF:
```
data_AcB3OsRu
_cell_length_a 5.8364
_cell_length_b 10.5580
_cell_length_c 5.8582
_cell_angle_alpha 90.00
_cell_angle_beta 90.00
_cell_angle_gamma 90.00
_space_group_name_H-M_alt 'C m c m'
_space_group_IT_number 63
_space_group_name_Hall '-C 2c 2'
loop_
_atom_site_label
_atom_site_type_symbol
_atom_site_fract_x
_atom_site_fract_y
_atom_site_fract_z
_atom_site_occupancy
Ac1 Ac 0.0000 0.2497 0.2500 1
B1 B 0.0000 0.2494 0.7500 1
B2 B 0.2501 0.0000 0.0000 1
Os1 Os 0.0000 0.4367 0.7500 1
Ru1 Ru 0.0000 0.0609 0.7500 1
```

Computed properties:
For the electronic total energy, the calculation gives -7.659 eV/atom. The total magnetization is 0.00 Bohr magnetons per cell. The calculation puts the density of states at the Fermi level at 2.0 states/eV/f.u. The calculation puts the energy of formation from the pure elements at -1.31 eV per formula unit.

Record 7
Crystalline AcB2OsRu at its relaxed geometry. Source: the Alexandria database, functional PBE.

Geometry as CIF:
```
data_AcB2OsRu
_cell_length_a 4.0908
_cell_length_b 4.0908
_cell_length_c 10.3410
_cell_angle_alpha 90.00
_cell_angle_beta 90.00
_cell_angle_gamma 90.00
_space_group_name_H-M_alt 'I -4 m 2'
_space_group_IT_number 119
_space_group_name_Hall 'I -4 -2'
loop_
_atom_site_label
_atom_site_type_symbol
_atom_site_fract_x
_atom_site_fract_y
_atom_site_fract_z
_atom_site_occupancy
Ac1 Ac 0.0000 0.0000 0.0000 1
B1 B 0.0000 0.0000 0.3080 1
Os1 Os 0.0000 0.5000 0.7500 1
Ru1 Ru 0.0000 0.5000 0.2500 1
```

Computed properties:
For the electronic total energy, the calculation gives -7.966 eV/atom. The total magnetization is 0.00 Bohr magnetons per cell. The calculation puts the density of states at the Fermi level at 3.1 states/eV/f.u. The calculation puts the energy of formation from the pure elements at -1.86 eV per formula unit.

Record 8
Crystalline Ac2B12Os3Ru at its relaxed geometry. Source: the Alexandria database, functional PBE.

Geometry as CIF:
```
data_Ac2B12Os3Ru
_cell_length_a 8.1599
_cell_length_b 8.1599
_cell_length_c 18.4656
_cell_angle_alpha 90.00
_cell_angle_beta 90.00
_cell_angle_gamma 120.00
_space_group_name_H-M_alt 'R -3 m'
_space_group_IT_number 166
_space_group_name_Hall '-R 3 2"'
loop_
_atom_site_label
_atom_site_type_symbol
_atom_site_fract_x
_atom_site_fract_y
_atom_site_fract_z
_atom_site_occupancy
Ac1 Ac 0.0000 0.0000 0.2235 1
B1 B 0.0828 0.1655 0.6173 1
B2 B 0.0875 0.5437 0.1017 1
Os1 Os 0.0000 0.5000 0.0000 1
Ru1 Ru 0.0000 0.0000 0.5000 1
```

Computed properties:
For the electronic total energy, the calculation gives -6.771 eV/atom. The total magnetization is 0.00 Bohr magnetons per cell. The calculation puts the density of states at the Fermi level at 4.6 states/eV/f.u. The calculation puts the energy of formation from the pure elements at 9.44 eV per formula unit.

Record 9
Crystalline Ac2B12OsRu3 at its relaxed geometry. Source: the Alexandria database, functional PBE.

Geometry as CIF:
```
data_Ac2B12OsRu3
_cell_length_a 6.0136
_cell_length_b 6.0136
_cell_length_c 22.0414
_cell_angle_alpha 90.00
_cell_angle_beta 90.00
_cell_angle_gamma 120.00
_space_group_name_H-M_alt 'R -3 m'
_space_group_IT_number 166
_space_group_name_Hall '-R 3 2"'
loop_
_atom_site_label
_atom_site_type_symbol
_atom_site_fract_x
_atom_site_fract_y
_atom_site_fract_z
_atom_site_occupancy
Ac1 Ac 0.0000 0.0000 0.1259 1
B1 B 0.0335 0.5168 0.0996 1
B2 B 0.0969 0.1938 0.7396 1
Os1 Os 0.0000 0.0000 0.5000 1
Ru1 Ru 0.0000 0.5000 0.0000 1
```

Computed properties:
For the electronic total energy, the calculation gives -6.961 eV/atom. The total magnetization is 0.00 Bohr magnetons per cell. The calculation puts the density of states at the Fermi level at 13.2 states/eV/f.u. The calculation puts the energy of formation from the pure elements at 2.11 eV per formula unit.

Record 10
Crystalline AcSi2BOs2 at its relaxed geometry. Source: the Alexandria database, functional PBE.

Geometry as CIF:
```
data_AcSi2BOs2
_cell_length_a 4.2185
_cell_length_b 4.2185
_cell_length_c 5.5979
_cell_angle_alpha 90.00
_cell_angle_beta 90.00
_cell_angle_gamma 90.00
_space_group_name_H-M_alt 'P 4/m m m'
_space_group_IT_number 123
_space_group_name_Hall '-P 4 2'
loop_
_atom_site_label
_atom_site_type_symbol
_atom_site_fract_x
_atom_site_fract_y
_atom_site_fract_z
_atom_site_occupancy
Ac1 Ac 0.0000 0.0000 0.0000 1
Si1 Si 0.5000 0.5000 0.2339 1
B1 B 0.0000 0.0000 0.5000 1
Os1 Os 0.0000 0.5000 0.5000 1
```

Computed properties:
For the electronic total energy, the calculation gives -7.781 eV/atom. The total magnetization is 0.00 Bohr magnetons per cell. For the uncorrected formation energy, the calculation gives -250 kJ/mol of formula units. The calculation puts the density of states at the Fermi level at 2.9 states/eV/f.u.

Record 11
Crystalline Ac2Si2BOs2 at its relaxed geometry. Source: the Alexandria database, functional PBE.

Geometry as CIF:
```
data_Ac2Si2BOs2
_cell_length_a 11.7480
_cell_length_b 4.3055
_cell_length_c 7.5389
_cell_angle_alpha 90.00
_cell_angle_beta 128.94
_cell_angle_gamma 90.00
_space_group_name_H-M_alt 'C 1 2/m 1'
_space_group_IT_number 12
_space_group_name_Hall '-C 2y'
loop_
_atom_site_label
_atom_site_type_symbol
_atom_site_fract_x
_atom_site_fract_y
_atom_site_fract_z
_atom_site_occupancy
Ac1 Ac 0.0618 0.0000 0.3099 1
Si1 Si 0.1874 0.5000 0.7556 1
B1 B 0.0000 0.5000 0.0000 1
Os1 Os 0.2005 0.5000 0.0900 1
```

Computed properties:
For the electronic total energy, the calculation gives -7.496 eV/atom. The total magnetization is 0.00 Bohr magnetons per cell. For the uncorrected formation energy, the calculation gives -412 kJ/mol of formula units. The calculation puts the density of states at the Fermi level at 2.9 states/eV/f.u.

> Among the records above, which one has the highest total magnetization?

AcB2Os

Copy entry 1 word for word.
Crystalline Ac3B7Os at its relaxed geometry. Source: the Alexandria database, functional PBE.

Geometry as CIF:
```
data_Ac3B7Os
_cell_length_a 3.6697
_cell_length_b 16.9354
_cell_length_c 10.4682
_cell_angle_alpha 90.00
_cell_angle_beta 90.00
_cell_angle_gamma 90.00
_space_group_name_H-M_alt 'C m c m'
_space_group_IT_number 63
_space_group_name_Hall '-C 2c 2'
loop_
_atom_site_label
_atom_site_type_symbol
_atom_site_fract_x
_atom_site_fract_y
_atom_site_fract_z
_atom_site_occupancy
Ac1 Ac 0.0000 0.0974 0.0555 1
Ac2 Ac 0.0000 0.2587 0.7500 1
B1 B 0.0000 0.2721 0.0326 1
B2 B 0.0000 0.3566 0.1561 1
B3 B 0.0000 0.4586 0.1295 1
B4 B 0.0000 0.4755 0.7500 1
Os1 Os 0.0000 0.0705 0.7500 1
```

Computed properties:
For the electronic total energy, the calculation gives -6.543 eV/atom. The total magnetization is 0.00 Bohr magnetons per cell. The calculation puts the density of states at the Fermi level at 1.8 states/eV/f.u. The calculation puts the energy of formation from the pure elements at -1.68 eV per formula unit.

Copy entry 6 word for word.
Crystalline AcB3OsRu at its relaxed geometry. Source: the Alexandria database, functional PBE.

Geometry as CIF:
```
data_AcB3OsRu
_cell_length_a 5.8364
_cell_length_b 10.5580
_cell_length_c 5.8582
_cell_angle_alpha 90.00
_cell_angle_beta 90.00
_cell_angle_gamma 90.00
_space_group_name_H-M_alt 'C m c m'
_space_group_IT_number 63
_space_group_name_Hall '-C 2c 2'
loop_
_atom_site_label
_atom_site_type_symbol
_atom_site_fract_x
_atom_site_fract_y
_atom_site_fract_z
_atom_site_occupancy
Ac1 Ac 0.0000 0.2497 0.2500 1
B1 B 0.0000 0.2494 0.7500 1
B2 B 0.2501 0.0000 0.0000 1
Os1 Os 0.0000 0.4367 0.7500 1
Ru1 Ru 0.0000 0.0609 0.7500 1
```

Computed properties:
For the electronic total energy, the calculation gives -7.659 eV/atom. The total magnetization is 0.00 Bohr magnetons per cell. The calculation puts the density of states at the Fermi level at 2.0 states/eV/f.u. The calculation puts the energy of formation from the pure elements at -1.31 eV per formula unit.

> Look up the electronic total energy of the second one.

-6.699 eV/atom